1.
DFT (PBE) results for crystalline Zn2Tc2Au at its relaxed geometry.

Output
V = 152 Å³/cell

a = 6.625 Å, b = 6.625 Å, c = 3.460 Å
α = 90.00°, β = 90.00°, γ = 90.00°
Fractional positions:
Zn (0.128, 0.372, 0.000)
Zn (0.372, 0.872, 0.000)
Zn (0.628, 0.128, 0.000)
Zn (0.872, 0.628, 0.000)
Tc (0.171, 0.671, 0.500)
Tc (0.329, 0.171, 0.500)
Tc (0.671, 0.829, 0.500)
Tc (0.829, 0.329, 0.500)
Au (0.000, 0.000, 0.000)
Au (0.500, 0.500, 0.000)


2.
DFT (PBE) results for crystalline ZnTcAu2 at its relaxed geometry.

Output
V = 67 Å³/cell

a = 4.806 Å, b = 4.806 Å, c = 4.806 Å
α = 128.24°, β = 128.24°, γ = 76.24°
Fractional positions:
Zn (0.000, 0.000, 0.000)
Tc (0.500, 0.500, 0.000)
Au (0.250, 0.750, 0.500)
Au (0.750, 0.250, 0.500)


3.
DFT (PBE) results for crystalline ZnTcAu2 at its relaxed geometry.

Output
V = 65 Å³/cell

a = 2.779 Å, b = 2.779 Å, c = 8.379 Å
α = 90.00°, β = 90.00°, γ = 90.00°
Fractional positions:
Zn (0.000, 0.000, 0.000)
Tc (0.500, 0.500, 0.771)
Au (0.000, 0.000, 0.523)
Au (0.500, 0.500, 0.242)


4.
DFT (PBE) results for crystalline ZrTc2Au at its relaxed geometry.

Output
V = 68 Å³/cell

a = 3.388 Å, b = 3.388 Å, c = 5.945 Å
α = 90.00°, β = 90.00°, γ = 90.00°
Fractional positions:
Zr (0.000, 0.000, 0.000)
Tc (0.500, 0.500, 0.252)
Tc (0.500, 0.500, 0.748)
Au (0.000, 0.000, 0.500)


5.
DFT (PBE) results for crystalline ZrTc2Au at its relaxed geometry.

Output
V = 68 Å³/cell

a = 9.808 Å, b = 9.808 Å, c = 9.808 Å
α = 16.76°, β = 16.76°, γ = 16.76°
Fractional positions:
Zr (0.000, 0.000, 0.000)
Tc (0.493, 0.493, 0.493)
Tc (0.756, 0.756, 0.756)
Au (0.244, 0.244, 0.244)


6.
DFT (PBE) results for crystalline ZrTc2Au at its relaxed geometry.

Output
V = 70 Å³/cell

a = 2.955 Å, b = 4.776 Å, c = 4.949 Å
α = 90.00°, β = 93.06°, γ = 90.00°
Fractional positions:
Zr (0.000, 0.000, 0.000)
Tc (0.322, 0.500, 0.769)
Tc (0.678, 0.500, 0.231)
Au (0.500, 0.000, 0.500)


Number 1: total DFT energy (no corrections) -49.07 eV per cell, formation energy from the elements 9.33 kcal/mol of atoms, spin magnetization 2.042 μB/cell. Number 2: total DFT energy (no corrections) -17.13 eV per cell, formation energy from the elements 6.13 kcal/mol of atoms, spin magnetization 2.138 μB/cell. Number 3: total DFT energy (no corrections) -17.70 eV per cell, formation energy from the elements 2.88 kcal/mol of atoms, spin magnetization 0.001 μB/cell. Number 4: total DFT energy (no corrections) -32.00 eV per cell, formation energy from the elements 3.21 kcal/mol of atoms, spin magnetization 0.000 μB/cell. Number 5: total DFT energy (no corrections) -32.18 eV per cell, formation energy from the elements 2.18 kcal/mol of atoms, spin magnetization 0.000 μB/cell. Number 6: total DFT energy (no corrections) -32.11 eV per cell, formation energy from the elements 2.58 kcal/mol of atoms, spin magnetization 0.000 μB/cell.